Computed, not measured: an optimized crystal structure of CaTc2B6 at the PBE-GGA level of DFT.

The structure belongs to space group P6/mmm (No. 191); the cell edges are 5.2951, 5.2951 and 3.4626 Å and the angles 90.00°, 90.00° and 120.00°. The distinct sites, in fractional coordinates, are Ca at (0.0000, 0.0000, 0.0000), Tc at (0.3333, 0.6667, 0.0000) and B at (0.0000, 0.3396, 0.5000).

The density of states at the Fermi level is 0.56 states/eV per atom. The calculation puts the magnetization at 0.0000 μB per atom. For the formation energy, the calculation gives -0.17 eV per atom.